This record from Alexandria describes a geometry-optimized Pu2PaOs structure. The functional is PBE.

Computed properties:
* volume: 86.9 Å³ per cell
* relative energy among the computed polymorphs: 333 meV/atom
* E_form: 1.42 eV/f.u.
* crystal system: trigonal

Lattice parameters (Å, degrees): 3.0949 3.0949 10.6290 81.63 81.63 60.00
Last column: nearest neighbours and their distance in Å.
Fractional coordinates of all 4 atoms:
Pa 0.0000 0.0000 0.0000  2 Pu 2.97, 6 Pa 3.09
Os 0.5000 0.5000 0.5000  6 Pu 2.89, 6 Os 3.09
Pu 0.0945 0.0945 0.7164  3 Os 2.89, 1 Pa 2.97, 6 Pu 3.09
Pu 0.9055 0.9055 0.2836  3 Os 2.89, 1 Pa 2.97, 6 Pu 3.09